Entry 1:
A relaxed KAlSb2I crystal. Source: the Alexandria database, functional GGA-PBEsol.

Unit cell a=5.237 b=5.237 c=6.260 alpha=90.00 beta=90.00 gamma=90.00
Atoms (fractional coordinates):
K  0.000  0.000  0.000
Al  0.500  0.500  0.500
Sb  0.000  0.500  0.500
Sb  0.500  0.000  0.500
I  0.500  0.500  0.000

## Properties
E_form (uncorrected)   -39 meV per atom
N(E_F)   4.93 states/eV per cell

Entry 2:
A relaxed K3PdC crystal. Source: the Alexandria database, functional GGA-PBEsol.

Unit cell a=5.506 b=5.506 c=5.506 alpha=90.00 beta=90.00 gamma=90.00
Atoms (fractional coordinates):
K  0.000  0.000  0.500
K  0.000  0.500  0.000
K  0.500  0.000  0.000
Pd  0.500  0.500  0.500
C  0.000  0.000  0.000

## Properties
E_form   1.15 eV/atom
N(E_F)   6.27 states/eV per cell